one) {"formula": "TaIn3Cl", "functional": "GGA-PBE", "state": "optimized geometry", "mass_density_kg_m3": 6681, "space_group": "No. 221", "lattice_angstrom": [[5.185, 0.000, 0.000], [0.000, 5.185, 0.000], [0.000, 0.000, 5.185]], "species": ["Cl", "In", "In", "In", "Ta"], "frac_coords": [[0.000, 0.000, 0.000], [0.000, 0.500, 0.000], [0.000, 0.000, 0.500], [0.500, 0.000, 0.000], [0.500, 0.500, 0.500]]}


two) {"formula": "TaIn3Cl", "functional": "GGA-PBE", "state": "optimized geometry", "mass_density_kg_m3": 5429, "space_group": "No. 221", "lattice_angstrom": [[-1.113, 0.937, -5.362], [-4.924, -2.508, 0.584], [-2.322, 4.869, 1.333]], "species": ["Cl", "In", "In", "In", "Ta"], "frac_coords": [[0.500, 0.500, 0.500], [0.000, 0.500, 0.000], [0.000, 0.000, 0.500], [0.500, 0.000, 0.000], [0.000, 0.000, 0.000]]}


What is the stability order? It is two), one), from most stable to least stable.


one) {"formula": "TaInCl2", "functional": "GGA-PBE", "state": "optimized geometry", "mass_density_kg_m3": 6816, "space_group": "No. 123", "lattice_angstrom": [[5.318, 0.000, 0.000], [0.000, 5.318, 0.000], [0.000, 0.000, 3.159]], "species": ["Cl", "Cl", "In", "Ta"], "frac_coords": [[0.000, 0.000, 0.000], [0.500, 0.500, 0.000], [0.500, 0.000, 0.500], [0.000, 0.500, 0.500]]}


two) {"formula": "TaInCl2", "functional": "GGA-PBE", "state": "optimized geometry", "mass_density_kg_m3": 6976, "space_group": "No. 25", "lattice_angstrom": [[-3.014, -0.517, -0.109], [0.661, -4.000, 0.688], [-0.436, 1.104, 6.833]], "species": ["Cl", "Cl", "In", "Ta"], "frac_coords": [[0.000, 0.000, 0.940], [0.500, 0.500, 0.189], [0.000, 0.000, 0.529], [0.500, 0.500, 0.842]]}


three) {"formula": "TaInCl2", "functional": "GGA-PBE", "state": "optimized geometry", "mass_density_kg_m3": 7099, "space_group": "No. 119", "lattice_angstrom": [[-4.441, -3.759, -1.397], [0.427, -5.932, 0.654], [0.985, 5.065, 3.029]], "species": ["Cl", "Cl", "In", "Ta"], "frac_coords": [[0.000, 0.000, 0.000], [0.250, 0.750, 0.500], [0.500, 0.500, 0.000], [0.750, 0.250, 0.500]]}


four) {"formula": "TaInCl2", "functional": "GGA-PBE", "state": "optimized geometry", "mass_density_kg_m3": 6762, "space_group": "No. 216", "lattice_angstrom": [[5.031, 0.000, 0.000], [2.515, 4.357, 0.000], [2.515, 1.452, 4.108]], "species": ["Cl", "Cl", "In", "Ta"], "frac_coords": [[0.000, 0.000, 0.000], [0.750, 0.750, 0.750], [0.500, 0.500, 0.500], [0.250, 0.250, 0.250]]}


What is the stability order? It is two), one), three), four), from most stable to least stable.


one) {"formula": "TaInCl2", "functional": "GGA-PBE", "state": "optimized geometry", "mass_density_kg_m3": 5701, "space_group": "No. 8", "lattice_angstrom": [[6.738, 0.281, 1.250], [5.896, 3.275, 1.250], [3.261, 0.918, 5.878]], "species": ["Cl", "Cl", "In", "Ta"], "frac_coords": [[0.906, 0.906, 0.126], [0.742, 0.742, 0.829], [0.561, 0.561, 0.504], [0.292, 0.292, 0.041]]}


two) {"formula": "TaInCl2", "functional": "GGA-PBE", "state": "optimized geometry", "mass_density_kg_m3": 7405, "space_group": "No. 139", "lattice_angstrom": [[5.352, 0.026, 0.000], [1.829, 5.030, 0.000], [-3.590, -2.528, 3.060]], "species": ["Cl", "Cl", "In", "Ta"], "frac_coords": [[0.000, 0.000, 0.000], [0.500, 0.500, 0.000], [0.250, 0.750, 0.500], [0.750, 0.250, 0.500]]}


three) {"formula": "TaInCl2", "functional": "GGA-PBE", "state": "optimized geometry", "mass_density_kg_m3": 7541, "space_group": "No. 10", "lattice_angstrom": [[4.457, 0.000, 0.000], [0.000, 3.164, 0.010], [0.000, 0.265, 5.726]], "species": ["Cl", "Cl", "In", "Ta"], "frac_coords": [[0.000, 0.863, 0.977], [0.000, 0.637, 0.523], [0.500, 0.250, 0.250], [0.500, 0.750, 0.750]]}


four) {"formula": "TaInCl2", "functional": "GGA-PBE", "state": "optimized geometry", "mass_density_kg_m3": 5912, "space_group": "No. 166", "lattice_angstrom": [[1.820, 0.000, 11.967], [-0.910, 1.576, 11.967], [-0.910, -1.576, 11.967]], "species": ["Cl", "Cl", "In", "Ta"], "frac_coords": [[0.883, 0.883, 0.883], [0.117, 0.117, 0.117], [0.000, 0.000, 0.000], [0.500, 0.500, 0.500]]}


What is the stability order? It is four), one), three), two), from most stable to least stable.


one) {"formula": "TaInCl4", "functional": "GGA-PBE", "state": "optimized geometry", "mass_density_kg_m3": 5215, "space_group": "No. 216", "lattice_angstrom": [[-0.426, -2.439, 5.266], [2.098, 2.770, 4.667], [-3.650, 2.222, 3.949]], "species": ["Ta", "In", "Cl", "Cl", "Cl", "Cl"], "frac_coords": [[0.000, 0.000, 0.000], [0.750, 0.750, 0.750], [0.878, 0.374, 0.374], [0.374, 0.374, 0.878], [0.374, 0.878, 0.374], [0.374, 0.374, 0.374]]}


two) {"formula": "TaInCl4", "functional": "GGA-PBE", "state": "optimized geometry", "mass_density_kg_m3": 3857, "space_group": "No. 12", "lattice_angstrom": [[8.243, 0.316, -2.412], [-3.506, 5.545, -1.752], [-0.692, 0.064, 8.205]], "species": ["Ta", "Ta", "In", "In", "Cl", "Cl", "Cl", "Cl", "Cl", "Cl", "Cl", "Cl"], "frac_coords": [[0.000, 0.750, 0.000], [0.000, 0.250, 0.000], [0.500, 0.250, 0.000], [0.500, 0.750, 0.000], [0.331, 0.474, 0.237], [0.669, 0.026, 0.762], [0.094, 0.737, 0.763], [0.906, 0.764, 0.238], [0.669, 0.526, 0.763], [0.906, 0.263, 0.237], [0.331, 0.974, 0.238], [0.094, 0.236, 0.762]]}


What is the stability order? It is two), one), from most stable to least stable.


one) {"formula": "TaIn2Cl6", "functional": "GGA-PBE", "state": "optimized geometry", "mass_density_kg_m3": 3878, "space_group": "No. 12", "lattice_angstrom": [[7.166, 0.000, 0.000], [-3.583, 5.966, -2.000], [0.000, -2.414, 7.053]], "species": ["Ta", "In", "In", "Cl", "Cl", "Cl", "Cl", "Cl", "Cl"], "frac_coords": [[0.000, 0.000, 0.000], [0.751, 0.502, 0.265], [0.249, 0.498, 0.735], [0.766, 0.532, 0.836], [0.803, 0.083, 0.267], [0.280, 0.083, 0.267], [0.234, 0.468, 0.164], [0.197, 0.917, 0.733], [0.720, 0.917, 0.733]]}


two) {"formula": "TaIn2Cl6", "functional": "GGA-PBE", "state": "optimized geometry", "mass_density_kg_m3": 3729, "space_group": "No. 12", "lattice_angstrom": [[-5.886, 2.145, 0.222], [-2.548, -6.594, -1.055], [-1.428, -4.208, 5.599]], "species": ["Ta", "In", "In", "Cl", "Cl", "Cl", "Cl", "Cl", "Cl"], "frac_coords": [[0.000, 0.000, 0.000], [0.847, 0.670, 0.670], [0.153, 0.330, 0.330], [0.217, 0.321, 0.839], [0.220, 0.838, 0.838], [0.217, 0.839, 0.321], [0.783, 0.679, 0.161], [0.780, 0.162, 0.162], [0.783, 0.161, 0.679]]}


What is the stability order? It is one), two), from most stable to least stable.


one) {"formula": "InTcCl", "functional": "GGA-PBE", "state": "optimized geometry", "mass_density_kg_m3": 6583, "space_group": "No. 42", "lattice_angstrom": [[8.264, 0.030, -0.017], [7.366, 2.983, -0.022], [0.898, -1.464, 2.564]], "species": ["Cl", "In", "Tc"], "frac_coords": [[0.036, 0.036, 0.964], [0.312, 0.312, 0.688], [0.653, 0.653, 0.347]]}


two) {"formula": "InTcCl", "functional": "GGA-PBE", "state": "optimized geometry", "mass_density_kg_m3": 6713, "space_group": "No. 156", "lattice_angstrom": [[3.101, 0.000, 0.000], [-1.551, 2.686, 0.000], [0.000, 0.000, 7.374]], "species": ["Cl", "In", "Tc"], "frac_coords": [[0.000, 0.000, 0.919], [0.667, 0.333, 0.381], [0.333, 0.667, 0.700]]}


three) {"formula": "InTcCl", "functional": "GGA-PBE", "state": "optimized geometry", "mass_density_kg_m3": 5979, "space_group": "No. 216", "lattice_angstrom": [[-3.879, 2.457, -0.315], [-2.793, 0.367, 3.640], [-0.368, 4.014, 2.222]], "species": ["Cl", "In", "Tc"], "frac_coords": [[0.000, 0.000, 0.000], [0.500, 0.500, 0.500], [0.750, 0.750, 0.750]]}


four) {"formula": "InTcCl", "functional": "GGA-PBE", "state": "optimized geometry", "mass_density_kg_m3": 7380, "space_group": "No. 187", "lattice_angstrom": [[-2.054, -4.022, 0.161], [4.272, 0.413, 1.415], [-1.028, 0.642, 2.917]], "species": ["Cl", "In", "Tc"], "frac_coords": [[0.000, 0.000, 0.833], [0.667, 0.333, 0.333], [0.333, 0.667, 0.833]]}


What is the stability order? It is two), one), four), three), from most stable to least stable.